No. 1
# PBE PaNbO4, relaxed
# - electronic total energy (eV per cell) = -224.76
# - formation energy from raw total energies (eV per atom) = -2.80
# - total moment (μB/atom) = 0.00
data_PaNbO4
_symmetry_space_group_name_H-M 'P n m a'
_symmetry_Int_Tables_number 62
_cell_length_a 5.442
_cell_length_b 3.803
_cell_length_c 14.643
_cell_angle_alpha 90.00
_cell_angle_beta 90.00
_cell_angle_gamma 90.00
loop_
_symmetry_equiv_pos_as_xyz
'x,y,z'
'-x,-y,-z'
'-x+1/2,-y,z+1/2'
'x+1/2,y,-z+1/2'
'x+1/2,-y+1/2,-z+1/2'
'-x+1/2,y+1/2,z+1/2'
'-x,y+1/2,-z'
'x,-y+1/2,z'
loop_
_atom_site_label
_atom_site_type_symbol
_atom_site_fract_x
_atom_site_fract_y
_atom_site_fract_z
_atom_site_occupancy
Pa1 Pa 0.244 0.250 0.060 1
Nb1 Nb 0.158 0.750 0.290 1
O1 O 0.024 0.750 0.432 1
O2 O 0.040 0.750 0.158 1
O3 O 0.086 0.250 0.306 1
O4 O 0.134 0.750 0.975 1


No. 2
# PBE Pa2NbO8, relaxed
# - electronic total energy (eV per cell) = -100.72
# - formation energy from raw total energies (eV per atom) = -2.91
# - total moment (μB/atom) = 0.09
data_Pa2NbO8
_symmetry_space_group_name_H-M 'P 1'
_symmetry_Int_Tables_number 1
_cell_length_a 5.695
_cell_length_b 5.832
_cell_length_c 5.868
_cell_angle_alpha 85.65
_cell_angle_beta 71.76
_cell_angle_gamma 71.90
loop_
_symmetry_equiv_pos_as_xyz
'x,y,z'
loop_
_atom_site_label
_atom_site_type_symbol
_atom_site_fract_x
_atom_site_fract_y
_atom_site_fract_z
_atom_site_occupancy
Pa1 Pa 0.000 0.000 0.000 1
Pa2 Pa 0.045 0.537 0.440 1
Nb1 Nb 0.651 0.141 0.615 1
O1 O 0.221 0.667 0.121 1
O2 O 0.366 0.006 0.771 1
O3 O 0.418 0.406 0.516 1
O4 O 0.577 0.183 0.974 1
O5 O 0.750 0.878 0.355 1
O6 O 0.863 0.332 0.734 1
O7 O 0.955 0.245 0.285 1
O8 O 0.958 0.829 0.700 1


No. 3
# PBE PaNb4O12, relaxed
# - electronic total energy (eV per cell) = -309.81
# - formation energy from raw total energies (eV per atom) = -2.68
# - total moment (μB/atom) = 0.00
data_PaNb4O12
_symmetry_space_group_name_H-M 'I 4/m m m'
_symmetry_Int_Tables_number 139
_symmetry_space_group_name_Hall '-I 4 2'
_cell_length_a 7.930
_cell_length_b 7.930
_cell_length_c 7.616
_cell_angle_alpha 90.00
_cell_angle_beta 90.00
_cell_angle_gamma 90.00
loop_
_atom_site_label
_atom_site_type_symbol
_atom_site_fract_x
_atom_site_fract_y
_atom_site_fract_z
_atom_site_occupancy
Pa1 Pa 0.000 0.000 0.000 1
Nb1 Nb 0.250 0.250 0.250 1
O1 O 0.000 0.238 0.185 1
O2 O 0.206 0.206 0.500 1


No. 4
# PBE PaNbO2, relaxed
# - electronic total energy (eV per cell) = -110.93
# - formation energy from raw total energies (eV per atom) = -1.87
# - total moment (μB/atom) = 0.00
data_PaNbO2
_symmetry_space_group_name_H-M 'R -3 m'
_symmetry_Int_Tables_number 166
_symmetry_space_group_name_Hall '-R 3 2"'
_cell_length_a 3.2574
_cell_length_b 3.2574
_cell_length_c 20.8047
_cell_angle_alpha 90.00
_cell_angle_beta 90.00
_cell_angle_gamma 120.00
loop_
_atom_site_label
_atom_site_type_symbol
_atom_site_fract_x
_atom_site_fract_y
_atom_site_fract_z
_atom_site_occupancy
Pa1 Pa 0.0000 0.0000 0.0000 1
Nb1 Nb 0.0000 0.0000 0.5000 1
O1 O 0.0000 0.0000 0.4024 1


No. 5
# PBE PaNbO5, relaxed
# - electronic total energy (eV per cell) = -263.59
# - formation energy from raw total energies (eV per atom) = -3.08
# - total moment (μB/atom) = 0.00
data_PaNbO5
_symmetry_space_group_name_H-M 'C 1 2/c 1'
_symmetry_Int_Tables_number 15
_cell_length_a 8.964
_cell_length_b 6.551
_cell_length_c 7.717
_cell_angle_alpha 90.00
_cell_angle_beta 115.46
_cell_angle_gamma 90.00
loop_
_symmetry_equiv_pos_as_xyz
'x,y,z'
'-x,-y,-z'
'-x,y,-z+1/2'
'x,-y,z+1/2'
'x+1/2,y+1/2,z'
'-x+1/2,-y+1/2,-z'
'-x+1/2,y+1/2,-z+1/2'
'x+1/2,-y+1/2,z+1/2'
loop_
_atom_site_label
_atom_site_type_symbol
_atom_site_fract_x
_atom_site_fract_y
_atom_site_fract_z
_atom_site_occupancy
Pa1 Pa 0.000 0.042 0.250 1
Nb1 Nb 0.000 0.500 0.000 1
O1 O 0.000 0.418 0.250 1
O2 O 0.011 0.199 0.966 1
O3 O 0.248 0.476 0.628 1


No. 6
# PBE Pa4NbO10, relaxed
# - electronic total energy (eV per cell) = -441.71
# - formation energy from raw total energies (eV per atom) = -3.31
# - total moment (μB/atom) = 0.16
data_Pa4NbO10
_symmetry_space_group_name_H-M 'R -3 m'
_symmetry_Int_Tables_number 166
_symmetry_space_group_name_Hall '-R 3 2"'
_cell_length_a 3.8432
_cell_length_b 3.8432
_cell_length_c 45.8695
_cell_angle_alpha 90.00
_cell_angle_beta 90.00
_cell_angle_gamma 120.00
loop_
_atom_site_label
_atom_site_type_symbol
_atom_site_fract_x
_atom_site_fract_y
_atom_site_fract_z
_atom_site_occupancy
Pa1 Pa 0.0000 0.0000 0.1038 1
Pa2 Pa 0.0000 0.0000 0.2990 1
Nb1 Nb 0.0000 0.0000 0.5000 1
O1 O 0.0000 0.0000 0.0517 1
O2 O 0.0000 0.0000 0.1523 1
O3 O 0.0000 0.0000 0.2469 1
O4 O 0.0000 0.0000 0.3506 1
O5 O 0.0000 0.0000 0.4522 1


No. 7
# PBE PaNbPd2O8, relaxed
# - electronic total energy (eV per cell) = -178.09
# - formation energy from raw total energies (eV per atom) = -1.62
# - total moment (μB/atom) = 0.15
data_PaNbPd2O8
_symmetry_space_group_name_H-M 'I -4 m 2'
_symmetry_Int_Tables_number 119
_symmetry_space_group_name_Hall 'I -4 -2'
_cell_length_a 6.773
_cell_length_b 6.773
_cell_length_c 6.994
_cell_angle_alpha 90.00
_cell_angle_beta 90.00
_cell_angle_gamma 90.00
loop_
_atom_site_label
_atom_site_type_symbol
_atom_site_fract_x
_atom_site_fract_y
_atom_site_fract_z
_atom_site_occupancy
Pa1 Pa 0.000 0.000 0.000 1
Nb1 Nb 0.000 0.500 0.250 1
Pd1 Pd 0.000 0.000 0.500 1
Pd2 Pd 0.000 0.500 0.750 1
O1 O 0.000 0.195 0.281 1
O2 O 0.000 0.329 0.984 1


No. 8
# PBE PuPaNbO6, relaxed
# - electronic total energy (eV per cell) = -181.24
# - formation energy from raw total energies (eV per atom) = -3.00
# - total moment (μB/atom) = 0.67
data_PuPaNbO6
_symmetry_space_group_name_H-M 'P -3 1 c'
_symmetry_Int_Tables_number 163
_symmetry_space_group_name_Hall '-P 3 2c'
_cell_length_a 5.6395
_cell_length_b 5.6395
_cell_length_c 9.7660
_cell_angle_alpha 90.00
_cell_angle_beta 90.00
_cell_angle_gamma 120.00
loop_
_atom_site_label
_atom_site_type_symbol
_atom_site_fract_x
_atom_site_fract_y
_atom_site_fract_z
_atom_site_occupancy
Pu1 Pu 0.0000 0.0000 0.0000 1
Pa1 Pa 0.3333 0.6667 0.2500 1
Nb1 Nb 0.3333 0.6667 0.7500 1
O1 O 0.0185 0.3602 0.6369 1


- What is the formation energy from raw total energies in the third record?
  -2.68 eV per atom